Pm3Dy2Ho3, relaxed, DFT PBE; size of the total moment = 0.0 μB per formula unit; E_form = 0.0196 eV per atom
1.0
5.050 0.000 0.000
0.000 5.057 0.000
-2.525 -2.528 10.120
Pm Dy Ho
3 2 3
Direct
0.125 0.125 0.250
0.000 0.500 0.000
0.875 0.875 0.750
0.751 0.251 0.501
0.249 0.749 0.499
0.626 0.626 0.252
0.374 0.374 0.748
0.500 0.000 0.000

---

Pu4ZnGe2, relaxed, DFT PBE; size of the total moment = 0.3 μB per formula unit; E_form = -0.0103 eV per atom
1.0
-0.070 3.152 3.830
-4.315 1.818 1.638
-2.032 -3.553 6.100
Pu Zn Ge
4 1 2
Direct
0.388 0.388 0.835
0.261 0.261 0.218
0.739 0.739 0.782
0.612 0.612 0.165
0.000 0.000 0.000
0.120 0.120 0.641
0.880 0.880 0.359

---

ErNpRhO6, relaxed, DFT PBE; size of the total moment = 1.0 μB per formula unit; raw formation energy = -2254 meV/atom
1.0
5.575 0.000 0.000
-2.788 4.828 0.000
0.000 0.000 8.586
Er Np Rh O
2 2 2 12
Direct
0.333 0.667 0.250
0.667 0.333 0.750
0.667 0.333 0.250
0.333 0.667 0.750
0.000 0.000 0.000
0.000 0.000 0.500
0.688 0.664 0.124
0.976 0.312 0.124
0.312 0.976 0.624
0.024 0.688 0.876
0.336 0.312 0.376
0.976 0.664 0.376
0.664 0.976 0.876
0.688 0.024 0.376
0.024 0.336 0.624
0.336 0.024 0.124
0.664 0.688 0.624
0.312 0.336 0.876

---

RbNbAlIn2, relaxed, DFT PBE; size of the total moment = 0.0 μB per formula unit; E_form = 2.0985 eV per atom
1.0
-1.444 -2.099 5.077
-4.360 -2.295 -2.189
3.014 -4.692 -1.083
Nb Al Rb In
1 1 1 2
Direct
0.500 0.500 0.500
0.000 0.500 0.000
0.000 0.000 0.000
0.000 0.000 0.500
0.500 0.000 0.000

---

Sr2NiHg, relaxed, DFT PBE; size of the total moment = 0.0 μB per formula unit; E_form = 0.1373 eV per atom
1.0
5.276 0.000 0.000
2.638 4.569 0.000
2.638 1.523 4.308
Hg Ni Sr
1 1 2
Direct
0.500 0.500 0.500
0.750 0.750 0.750
0.000 0.000 0.000
0.250 0.250 0.250

---

SbMoPt2, relaxed, DFT PBE; size of the total moment = 0.0 μB per formula unit; raw formation energy = 427 meV/atom
1.0
-2.689 -5.397 0.464
5.078 -2.331 2.313
-0.516 -2.578 6.440
Sb Mo Pt
2 2 4
Direct
0.000 0.000 0.000
0.750 0.250 0.500
0.500 0.500 0.000
0.250 0.750 0.500
0.602 0.125 0.250
0.148 0.625 0.250
0.375 0.398 0.750
0.875 0.852 0.750

---

GePd2RuN, relaxed, DFT PBE; size of the total moment = 0.0 μB per formula unit; raw formation energy = 280 meV/atom
1.0
-0.723 -0.773 -4.211
-1.768 -3.322 0.913
-3.795 2.093 0.267
Ru Ge Pd N
1 1 2 1
Direct
0.000 0.500 0.000
0.500 0.500 0.500
0.000 0.000 0.500
0.500 0.000 0.000
0.000 0.000 0.000

---

BC2, relaxed, DFT PBE; size of the total moment = 0.0 μB per formula unit; E_form = 0.3436 eV per atom
1.0
-1.716 -5.271 -4.232
-1.271 -6.592 0.908
-0.821 6.699 0.592
B C
4 8
Direct
0.983 0.336 0.647
0.174 0.125 0.048
0.970 0.980 0.990
0.983 0.671 0.312
0.613 0.291 0.321
0.521 0.168 0.353
0.609 0.956 0.654
0.484 0.832 0.652
0.138 0.794 0.343
0.628 0.624 0.004
0.497 0.501 0.997
0.150 0.472 0.678

---

- Among the records above, which one has the highest size of the total moment?
  ErNpRhO6

---

- Among the records above, which one has the highest size of the total moment?
  ErNpRhO6